# 1
DFT (PBE) results for an optimized crystal structure of AlAgSn.

Output
Energy of formation from the pure elements (eV/atom): 0.06
Raw total energy (eV/atom): -3.4769

```
data_AlAgSn
_symmetry_space_group_name_H-M 'P -1'
_symmetry_Int_Tables_number 2
_cell_length_a 4.4573
_cell_length_b 4.4797
_cell_length_c 6.9306
_cell_angle_alpha 76.00
_cell_angle_beta 76.34
_cell_angle_gamma 75.83
loop_
_symmetry_equiv_pos_as_xyz
'x,y,z'
'-x,-y,-z'
loop_
_atom_site_label
_atom_site_type_symbol
_atom_site_fract_x
_atom_site_fract_y
_atom_site_fract_z
Al1 Al 0.2420 0.2504 0.4976
Ag1 Ag 0.3273 0.8195 0.2614
Sn1 Sn 0.2290 0.7317 0.8737
```


# 2
DFT (PBE) results for an optimized crystal structure of KRu2Br.

Output
Raw formation energy (eV per atom): 0.314
Raw total energy (eV/atom): -5.0165

```
data_KRu2Br
_symmetry_space_group_name_H-M 'C 1 m 1'
_symmetry_Int_Tables_number 8
_cell_length_a 6.5246
_cell_length_b 3.7715
_cell_length_c 8.2834
_cell_angle_alpha 90.00
_cell_angle_beta 105.27
_cell_angle_gamma 90.00
loop_
_symmetry_equiv_pos_as_xyz
'x,y,z'
'x,-y,z'
'x+1/2,y+1/2,z'
'x+1/2,-y+1/2,z'
loop_
_atom_site_label
_atom_site_type_symbol
_atom_site_fract_x
_atom_site_fract_y
_atom_site_fract_z
K1 K 0.0000 0.0000 0.0000
Ru1 Ru 0.3206 0.5000 0.4563
Ru2 Ru 0.4465 0.0000 0.3352
Br1 Br 0.2324 0.0000 0.6960
```


So what do the calculations give for size of the total moment? Going down the list: 0.00 1.16 μB per cell.